No. 1
PBE Pr5DyMg4, optimized geometry; ΔE_f = -79 meV per atom; total magnetic moment = 0.0 μB per formula unit
1.0
3.8588 0.0000 0.0000
0.0000 3.8588 0.0000
0.0000 0.0000 20.7243
Pr Dy Mg
5 1 4
Direct
0.0000 0.0000 0.0000
0.0000 0.0000 0.1917
0.0000 0.0000 0.3843
0.0000 0.0000 0.6157
0.0000 0.0000 0.8083
0.5000 0.5000 0.5000
0.5000 0.5000 0.0962
0.5000 0.5000 0.2885
0.5000 0.5000 0.7115
0.5000 0.5000 0.9038

No. 2
PBE NiIrRu2, optimized geometry; ΔE_f = 83 meV per atom; total magnetic moment = 0.0 μB per formula unit; energy above the lowest structure with this stoichiometry = 0.045 eV/atom
1.0
-1.8745 1.8745 3.8264
1.8745 -1.8745 3.8264
1.8745 1.8745 -3.8264
Ni Ir Ru
1 1 2
Direct
0.0000 0.0000 0.0000
0.7500 0.2500 0.5000
0.2500 0.7500 0.5000
0.5000 0.5000 0.0000

No. 3
PBE Mg5CdGa, optimized geometry; ΔE_f = 41 meV per atom; total magnetic moment = 0.0 μB per formula unit; energy above the lowest structure with this stoichiometry = 0.086 eV/atom
1.0
4.9554 -3.3989 0.0000
4.9554 3.3989 0.0000
-3.9983 0.0000 9.7084
Mg Cd Ga
10 2 2
Direct
0.0501 0.7450 0.0099
0.1275 0.3385 0.7538
0.1713 0.8287 0.7500
0.2550 0.9499 0.4901
0.3385 0.1275 0.2538
0.6615 0.8725 0.7462
0.7450 0.0501 0.5099
0.8287 0.1713 0.2500
0.8725 0.6615 0.2462
0.9499 0.2550 0.9901
0.4071 0.5929 0.2500
0.5929 0.4071 0.7500
0.0000 0.5000 0.5000
0.5000 0.0000 0.0000

No. 4
PBE TiCoCuGe, optimized geometry; ΔE_f = -319 meV per atom; total magnetic moment = 0.0 μB per formula unit
1.0
0.0000 2.9570 2.9570
2.9570 0.0000 2.9570
2.9570 2.9570 0.0000
Ti Co Cu Ge
1 1 1 1
Direct
0.0000 0.0000 0.0000
0.2500 0.2500 0.2500
0.7500 0.7500 0.7500
0.5000 0.5000 0.5000

No. 5
PBE LaSn4Rh2, optimized geometry; ΔE_f = -668 meV per atom; total magnetic moment = 0.0 μB per formula unit; energy above the lowest structure with this stoichiometry = 0.000 eV/atom
1.0
18.6944 0.0000 0.0000
0.0000 4.5804 0.0000
0.0000 0.0000 7.2304
La Sn Rh
4 16 8
Direct
0.1417 0.2500 0.9997
0.3583 0.7500 0.4997
0.6417 0.2500 0.5003
0.8583 0.7500 0.0003
0.0313 0.7500 0.1358
0.0677 0.2500 0.5203
0.1822 0.7500 0.6976
0.1945 0.7500 0.2814
0.3055 0.2500 0.7814
0.3178 0.2500 0.1976
0.4323 0.7500 0.0203
0.4687 0.2500 0.6358
0.5313 0.7500 0.3642
0.5677 0.2500 0.9797
0.6822 0.7500 0.8024
0.6945 0.7500 0.2186
0.8055 0.2500 0.7186
0.8178 0.2500 0.3024
0.9323 0.7500 0.4797
0.9687 0.2500 0.8642
0.0343 0.7500 0.7487
0.2131 0.2500 0.4847
0.2869 0.7500 0.9847
0.4657 0.2500 0.2487
0.5343 0.7500 0.7513
0.7131 0.2500 0.0153
0.7869 0.7500 0.5153
0.9657 0.2500 0.2513

No. 6
PBE Si2AsCl, optimized geometry; formation energy without anion corrections = 179 meV per atom; total magnetic moment = 0.0 μB per formula unit; energy above the lowest structure with this stoichiometry = 0.229 eV/atom
1.0
3.3476 -1.9227 0.0000
3.3476 1.9227 0.0000
-2.2267 0.0000 6.4754
Si As Cl
2 1 1
Direct
0.2380 0.2380 0.2112
0.7620 0.7620 0.7888
0.5000 0.5000 0.0000
0.0000 0.0000 0.5000

No. 7
PBE TbErMgOs, optimized geometry; ΔE_f = -152 meV per atom; total magnetic moment = 0.0 μB per formula unit; energy above the lowest structure with this stoichiometry = 0.061 eV/atom
1.0
0.0000 3.5239 3.5239
3.5239 0.0000 3.5239
3.5239 3.5239 0.0000
Tb Er Mg Os
1 1 1 1
Direct
0.0000 0.0000 0.0000
0.5000 0.5000 0.5000
0.7500 0.7500 0.7500
0.2500 0.2500 0.2500

No. 8
PBE Er4OsRh3, optimized geometry; ΔE_f = -757 meV per atom; total magnetic moment = 0.0 μB per formula unit
1.0
3.3962 0.0000 0.0000
0.0000 3.3962 0.0000
0.0000 0.0000 13.5043
Er Os Rh
4 1 3
Direct
0.0000 0.0000 0.1221
0.0000 0.0000 0.3746
0.0000 0.0000 0.6254
0.0000 0.0000 0.8779
0.5000 0.5000 0.0000
0.5000 0.5000 0.2539
0.5000 0.5000 0.5000
0.5000 0.5000 0.7461